PBE Er3Zn2Os, relaxed; space-group type = P4/mmm (123); formation enthalpy at 0 K = -0.34 eV/atom; size of the total moment = 0.0 Bohr magnetons per cell; Fermi-level density of states = 5.46 states/eV/f.u.; E = -29.5 eV per cell
1.0
3.4645 0.0000 0.0000
0.0000 3.4645 0.0000
0.0000 0.0000 10.5983
Er Zn Os
3 2 1
Direct
0.0000 0.0000 0.0000
0.0000 0.0000 0.3471
0.0000 0.0000 0.6529
0.5000 0.5000 0.1684
0.5000 0.5000 0.8316
0.5000 0.5000 0.5000

***

PBE Er8ZnOs2, relaxed; space-group type = Cm (8); formation enthalpy at 0 K = -0.18 eV/atom; size of the total moment = 0.0 Bohr magnetons per cell; Fermi-level density of states = 9.74 states/eV/f.u.; E = -62.2 eV per cell
1.0
4.3164 -6.3894 0.0000
4.3164 6.3894 0.0000
-1.3601 0.0000 5.2962
Er Zn Os
8 1 2
Direct
0.0000 0.0000 0.0000
0.0464 0.3126 0.6103
0.1357 0.6189 0.1971
0.3126 0.0464 0.6103
0.4417 0.7080 0.7842
0.6189 0.1357 0.1971
0.7080 0.4417 0.7842
0.7540 0.7540 0.3940
0.3767 0.3767 0.1942
0.0625 0.6916 0.6970
0.6916 0.0625 0.6970